Record 1
8
Lattice="2.639 1.524 9.027 -2.639 1.524 9.027 0.000 -3.048 9.027" Properties=species:S:1:pos:R:3 comment="NdHo2MgTl4 PBE optimized geometry" formation_energy_kj_per_mol_atoms=-28 sg="No. 166" dos_at_fermi_per_ev_cell=4.55 pbc="T T T"
Nd 0.000 0.000 0.000
Ho 0.000 0.000 6.601
Ho 0.000 0.000 20.478
Mg 0.000 0.000 13.540
Tl 0.000 0.000 3.404
Tl 0.000 0.000 10.241
Tl 0.000 0.000 16.839
Tl 0.000 0.000 23.676

---

Record 2
13
Lattice="-2.672 4.532 4.397 2.672 -4.532 4.397 2.672 4.532 -4.397" Properties=species:S:1:pos:R:3 comment="SmGa5Pd7 PBE optimized geometry" formation_energy_kj_per_mol_atoms=-61 sg="No. 44" dos_at_fermi_per_ev_cell=5.63 pbc="T T T"
Sm 0.000 0.000 0.000
Ga 1.358 -2.184 2.120
Ga 3.987 -2.184 2.120
Ga 1.358 2.184 2.120
Ga 3.987 2.184 2.120
Ga 0.000 4.532 2.353
Pd 2.672 1.881 -0.154
Pd 2.672 0.000 1.933
Pd 0.000 0.000 2.991
Pd 0.000 3.090 0.033
Pd 0.000 0.000 5.824
Pd 0.000 5.974 0.033
Pd 0.000 2.651 4.243

---

Question: What is the formula in the first record?
Answer: NdHo2MgTl4